(1)
The following is a PBE-GGA calculation of a geometry-optimized Sr3PrU2P6 structure, from Alexandria via LeMat-Bulk.

## Properties
**Theoretical density**: 5.6 Mg/m³
**Symmetry**: C2/m (12)

a b c (Å): 7.226 7.226 7.352
angles (deg): 99.45 99.45 120.00
Element x y z (fractional)
Sr  0.000  0.000  0.000
Sr  0.336  0.664  0.000
Sr  0.664  0.336  0.000
Pr  0.500  0.500  0.500
U  0.167  0.833  0.500
U  0.833  0.167  0.500
P  0.077  0.428  0.285
P  0.221  0.221  0.715
P  0.428  0.077  0.285
P  0.572  0.923  0.715
P  0.779  0.779  0.285
P  0.923  0.572  0.715


(2)
The following is a PBE-GGA calculation of a geometry-optimized PrTaP2 structure, from Alexandria via LeMat-Bulk.

## Properties
**Theoretical density**: 7.9 Mg/m³
**Symmetry**: R-3m (166)

a b c (Å): 6.749 6.749 6.749
angles (deg): 32.95 32.95 32.95
Element x y z (fractional)
Pr  0.000  0.000  0.000
Ta  0.500  0.500  0.500
P  0.236  0.236  0.236
P  0.764  0.764  0.764


(3)
The following is a PBE-GGA calculation of a geometry-optimized Tb3PrP structure, from Alexandria via LeMat-Bulk.

## Properties
**Theoretical density**: 6.7 Mg/m³
**Symmetry**: Pm-3m (221)

a b c (Å): 5.433 5.433 5.433
angles (deg): 90.00 90.00 90.00
Element x y z (fractional)
Tb  0.000  0.000  0.500
Tb  0.000  0.500  0.000
Tb  0.500  0.000  0.000
Pr  0.500  0.500  0.500
P  0.000  0.000  0.000


(4)
The following is a PBE-GGA calculation of a geometry-optimized Tb5PrP6 structure, from Alexandria via LeMat-Bulk.

## Properties
**Theoretical density**: 6.6 Mg/m³
**Symmetry**: C2/m (12)

a b c (Å): 7.030 7.030 7.030
angles (deg): 99.61 99.61 119.98
Element x y z (fractional)
Tb  0.000  0.000  0.000
Tb  0.167  0.833  0.500
Tb  0.334  0.666  0.000
Tb  0.666  0.334  0.000
Tb  0.833  0.167  0.500
Pr  0.500  0.500  0.500
P  0.077  0.415  0.246
P  0.245  0.245  0.753
P  0.415  0.077  0.246
P  0.585  0.923  0.754
P  0.755  0.755  0.247
P  0.923  0.585  0.754


(5)
The following is a PBE-GGA calculation of a geometry-optimized TbPrP structure, from Alexandria via LeMat-Bulk.

## Properties
**Theoretical density**: 5.6 Mg/m³
**Symmetry**: Cmcm (63)

a b c (Å): 6.599 6.599 5.773
angles (deg): 90.00 90.00 128.24
Element x y z (fractional)
Tb  0.000  0.000  0.000
Tb  0.000  0.000  0.500
Pr  0.292  0.708  0.750
Pr  0.708  0.292  0.250
P  0.202  0.798  0.250
P  0.798  0.202  0.750


(6)
The following is a PBE-GGA calculation of a geometry-optimized TbPr4P5 structure, from Alexandria via LeMat-Bulk.

## Properties
**Theoretical density**: 5.7 Mg/m³
**Symmetry**: I4/m (87)

a b c (Å): 7.224 7.224 7.224
angles (deg): 99.60 99.60 131.78
Element x y z (fractional)
Tb  0.000  0.000  0.000
Pr  0.200  0.599  0.799
Pr  0.401  0.200  0.602
Pr  0.599  0.800  0.398
Pr  0.800  0.401  0.201
P  0.098  0.295  0.393
P  0.295  0.902  0.197
P  0.500  0.500  0.000
P  0.705  0.098  0.803
P  0.902  0.705  0.607


One value per record, in order, for total magnetization: 0.25 0.00 0.16 0.00 0.08 0.00 μB/atom.
One value per record, in order, for E: -0.4797 -0.5783 -0.3851 -0.4867 -0.3996 -0.4856 Ry per atom.
One value per record, in order, for formation enthalpy at 0 K: -108.3 -96.9 -40.9 -153.4 -48.0 -147.4 kJ/mol of atoms.